Computed, not measured: HfMn2SiP after structural relaxation at the PBE level of DFT.

Output
The theoretical density comes out at 6.70 g/cm3. The value obtained for the size of the total moment is 4.9 μB/cell. The final energy is -36.47 eV/cell.

Cell lengths 4.2794, 4.2794, 4.7039 Å; angles 90.00, 90.00, 90.00 degrees
Last column: nearest neighbours and their distance in Å.
Atoms (fractional coordinates):
Hf 0.0000 0.0000 0.0000  4 P 3.03, 8 Mn 3.18
Mn 0.0000 0.5000 0.5000  2 Si 2.14
Mn 0.5000 0.0000 0.5000  2 Si 2.14
Si 0.5000 0.5000 0.5000  4 Mn 2.14, 2 P 2.35
P 0.5000 0.5000 0.0000  2 Si 2.35